The following is a DFT calculation (GGA-PBE) of crystalline Rb2LiGaBi2 at its relaxed geometry.

```
Rb2LiGaBi2
1.0
-3.355 -5.265 -3.303
4.911 -4.626 2.387
-5.450 3.568 7.399
Rb Li Ga Bi
4 2 2 4
Direct
0.406 0.167 0.333 Rb
0.594 0.833 0.667 Rb
0.073 0.333 0.667 Rb
0.927 0.667 0.333 Rb
0.000 0.750 0.000 Li
0.000 0.250 0.000 Li
0.500 0.750 0.000 Ga
0.500 0.250 0.000 Ga
0.822 0.093 0.185 Bi
0.364 0.593 0.185 Bi
0.636 0.407 0.815 Bi
0.178 0.907 0.815 Bi
```

## Properties
V	35.72	Å³/atom
formation energy from the elements	-2.3	eV/f.u.
raw total energy	-2.8159	eV/atom
density	5.16	g/cm³